VASP calculation (GGA-PBE) on a geometry-optimized HgAsWBr2 structure.

Offset from the most stable computed form   0.0 meV per atom
Space-group type   P4/mmm, No. 123

Cell lengths 5.2207, 5.2207, 4.9170 Å; angles 90.00, 90.00, 90.00 degrees
With the nearest neighbours (Å) after each atom.
Positions (direct):
1 Br 0.5000 0.0000 0.0000  2 W 2.61
2 Br 0.0000 0.5000 0.0000  2 W 2.61
3 W 0.0000 0.0000 0.0000  2 As 2.46, 4 Br 2.61
4 As 0.0000 0.0000 0.5000  2 W 2.46
5 Hg 0.5000 0.5000 0.5000  8 Br 3.59, 4 As 3.69

---

VASP calculation (GGA-PBE) on a geometry-optimized YHgAsBr2 structure.

Offset from the most stable computed form   701.2 meV per atom
Space-group type   P4/mmm, No. 123

Cell lengths 5.3259, 5.3259, 5.4191 Å; angles 90.00, 90.00, 90.00 degrees
With the nearest neighbours (Å) after each atom.
Positions (direct):
1 Br 0.0000 0.5000 0.0000  2 Hg 2.66
2 Br 0.5000 0.0000 0.0000  2 Hg 2.66
3 Y 0.5000 0.5000 0.5000  4 As 3.77, 8 Br 3.80
4 As 0.0000 0.0000 0.5000  2 Hg 2.71
5 Hg 0.0000 0.0000 0.0000  4 Br 2.66, 2 As 2.71

---

VASP calculation (GGA-PBE) on a geometry-optimized YHgAsBr2 structure.

Offset from the most stable computed form   0.0 meV per atom
Space-group type   P4/mmm, No. 123

Cell lengths 5.5985, 5.5985, 5.8918 Å; angles 90.00, 90.00, 90.00 degrees
With the nearest neighbours (Å) after each atom.
Positions (direct):
1 Br 0.5000 0.0000 0.0000  2 Y 2.80
2 Br 0.0000 0.5000 0.0000  2 Y 2.80
3 Y 0.0000 0.0000 0.0000  4 Br 2.80, 2 As 2.95
4 Hg 0.5000 0.5000 0.5000  4 As 3.96, 8 Br 4.06
5 As 0.0000 0.0000 0.5000  2 Y 2.95

---

Number 1: uncorrected formation energy 1.6 eV/f.u.. Number 2: uncorrected formation energy 0.1 eV/f.u.. Number 3: uncorrected formation energy -3.5 eV/f.u..